Arrangement 1

First-principles (PBE-GGA) data for an optimized crystal structure of Nd2InI, as listed in Alexandria via LeMat-Bulk.

Computed properties:
Mass density in g/cm³: 6.89
D(E_F) in states/eV/cell: 1.988

a = 3.954 Å, b = 3.954 Å, c = 9.706 Å
α = 78.25°, β = 78.25°, γ = 60.00°
Atoms (fractional coordinates):
Nd1 0.081 0.081 0.756
Nd2 0.252 0.252 0.243
In1 0.667 0.667 0.000
I1 0.500 0.500 0.501

***

Arrangement 2

First-principles (PBE-GGA) data for an optimized crystal structure of Nd2InI, as listed in Alexandria via LeMat-Bulk.

Computed properties:
Mass density in g/cm³: 6.78
D(E_F) in states/eV/cell: 1.555

a = 4.002 Å, b = 4.002 Å, c = 9.646 Å
α = 78.03°, β = 78.03°, γ = 60.00°
Atoms (fractional coordinates):
I1 0.500 0.500 0.500
Nd1 0.746 0.746 0.762
Nd2 0.254 0.254 0.238
In1 0.000 0.000 0.000

***

Need the numbers? Relative energies in meV/atom: arrangement 1 0; arrangement 2 39.

***

Arrangement 1

First-principles (PBE-GGA) data for an optimized crystal structure of InNiI2, as listed in Alexandria via LeMat-Bulk.

Computed properties:
Mass density in g/cm³: 5.59
D(E_F) in states/eV/cell: 4.550

a = 8.114 Å, b = 8.114 Å, c = 6.912 Å
α = 54.06°, β = 54.06°, γ = 90.00°
Site moments in Bohr magnetons follow the coordinates.
Atoms (fractional coordinates):
I1 0.531 0.125 0.250  0.07
I2 0.219 0.625 0.250  0.07
I3 0.375 0.469 0.750  0.07
I4 0.875 0.781 0.750  0.07
Ni1 0.500 0.500 0.000  0.75
Ni2 0.250 0.750 0.500  0.74
In1 0.000 0.000 0.000  0.00
In2 0.750 0.250 0.500  0.00

***

Arrangement 2

First-principles (PBE-GGA) data for an optimized crystal structure of InNiI2, as listed in Alexandria via LeMat-Bulk.

Computed properties:
Mass density in g/cm³: 6.12
D(E_F) in states/eV/cell: 8.091

a = 5.473 Å, b = 5.473 Å, c = 5.473 Å
α = 60.00°, β = 60.00°, γ = 60.00°
Site moments in Bohr magnetons follow the coordinates.
Atoms (fractional coordinates):
I1 0.250 0.250 0.250  0.04
I2 0.750 0.750 0.750  0.04
Ni1 0.000 0.000 0.000  0.88
In1 0.500 0.500 0.500  0.01

***

Need the numbers? Relative energies in meV/atom: arrangement 1 0; arrangement 2 478.

***

Arrangement 1

First-principles (PBE-GGA) data for an optimized crystal structure of InNiI3, as listed in Alexandria via LeMat-Bulk.

Computed properties:
Mass density in g/cm³: 4.40
D(E_F) in states/eV/cell: 52.539

a = 5.937 Å, b = 5.937 Å, c = 5.937 Å
α = 90.00°, β = 90.00°, γ = 90.00°
Site moments in Bohr magnetons follow the coordinates.
Atoms (fractional coordinates):
I1 0.000 0.500 0.000  0.01
I2 0.000 0.000 0.500  0.00
I3 0.500 0.000 0.000  0.01
Ni1 0.500 0.500 0.500  0.98
In1 0.000 0.000 0.000  0.01

***

Arrangement 2

First-principles (PBE-GGA) data for an optimized crystal structure of InNiI3, as listed in Alexandria via LeMat-Bulk.

Computed properties:
Mass density in g/cm³: 5.81
D(E_F) in states/eV/cell: 1.977

a = 5.412 Å, b = 5.412 Å, c = 5.412 Å
α = 90.00°, β = 90.00°, γ = 90.00°
Atoms (fractional coordinates):
I1 0.000 0.500 0.000
I2 0.000 0.000 0.500
I3 0.500 0.000 0.000
Ni1 0.000 0.000 0.000
In1 0.500 0.500 0.500

***

Need the numbers? Relative energies in meV/atom: arrangement 1 667; arrangement 2 0.

***

Arrangement 1

First-principles (PBE-GGA) data for an optimized crystal structure of In3NiI, as listed in Alexandria via LeMat-Bulk.

Computed properties:
Mass density in g/cm³: 6.49
D(E_F) in states/eV/cell: 0.479

a = 5.139 Å, b = 5.139 Å, c = 5.139 Å
α = 90.00°, β = 90.00°, γ = 90.00°
Atoms (fractional coordinates):
I1 0.500 0.500 0.500
Ni1 0.000 0.000 0.000
In1 0.000 0.500 0.000
In2 0.000 0.000 0.500
In3 0.500 0.000 0.000

***

Arrangement 2

First-principles (PBE-GGA) data for an optimized crystal structure of In3NiI, as listed in Alexandria via LeMat-Bulk.

Computed properties:
Mass density in g/cm³: 3.50
D(E_F) in states/eV/cell: 16.625

a = 6.313 Å, b = 6.313 Å, c = 6.313 Å
α = 90.00°, β = 90.00°, γ = 90.00°
Site moments in Bohr magnetons follow the coordinates.
Atoms (fractional coordinates):
I1 0.000 0.000 0.000  0.00
Ni1 0.500 0.500 0.500  0.88
In1 0.000 0.500 0.000  -0.02
In2 0.000 0.000 0.500  -0.02
In3 0.500 0.000 0.000  -0.02

***

Need the numbers? Relative energies in meV/atom: arrangement 1 0; arrangement 2 1283.

***

Arrangement 1

First-principles (PBE-GGA) data for an optimized crystal structure of InNi2I, as listed in Alexandria via LeMat-Bulk.

Computed properties:
Mass density in g/cm³: 6.49
D(E_F) in states/eV/cell: 1.332

a = 5.088 Å, b = 5.088 Å, c = 7.954 Å
α = 71.35°, β = 71.35°, γ = 90.00°
Atoms (fractional coordinates):
I1 0.000 0.000 0.000
I2 0.750 0.250 0.500
Ni1 0.654 0.125 0.250
Ni2 0.096 0.625 0.250
Ni3 0.375 0.346 0.750
Ni4 0.875 0.904 0.750
In1 0.500 0.500 0.000
In2 0.250 0.750 0.500

***

Arrangement 2

First-principles (PBE-GGA) data for an optimized crystal structure of InNi2I, as listed in Alexandria via LeMat-Bulk.

Computed properties:
Mass density in g/cm³: 8.32
D(E_F) in states/eV/cell: 0.724

a = 4.662 Å, b = 4.662 Å, c = 4.662 Å
α = 60.00°, β = 60.00°, γ = 60.00°
Atoms (fractional coordinates):
I1 0.500 0.500 0.500
Ni1 0.250 0.250 0.250
Ni2 0.750 0.750 0.750
In1 0.000 0.000 0.000

***

Need the numbers? Relative energies in meV/atom: arrangement 1 0; arrangement 2 93.